Entry 1:
! Zr4Sn3Mo2C3 | the Open Quantum Materials Database | PBE | optimized geometry; values from VASP
! spin magnetization = 0.01 μB per formula unit
! E_tot = -8.473 eV per atom
&SYSTEM
  ibrav = 0, nat = 24, ntyp = 4
/
ATOMIC_SPECIES
Zr 91.22 Zr.upf
Sn 118.71 Sn.upf
Mo 95.94 Mo.upf
C 12.01 C.upf
ATOMIC_POSITIONS crystal
Zr 0.032 0.194 0.089
Zr 0.134 0.304 0.411
Zr 0.194 0.032 0.589
Zr 0.304 0.134 0.911
Zr 0.696 0.866 0.089
Zr 0.806 0.968 0.411
Zr 0.866 0.696 0.589
Zr 0.968 0.806 0.911
Sn 0.112 0.888 0.250
Sn 0.273 0.417 0.750
Sn 0.417 0.273 0.250
Sn 0.583 0.727 0.750
Sn 0.727 0.583 0.250
Sn 0.888 0.112 0.750
Mo 0.353 0.526 0.076
Mo 0.474 0.647 0.424
Mo 0.526 0.353 0.576
Mo 0.647 0.474 0.924
C 0.000 0.500 0.000
C 0.176 0.662 0.500
C 0.338 0.824 0.000
C 0.500 0.000 0.500
C 0.662 0.176 0.000
C 0.824 0.338 0.500
CELL_PARAMETERS angstrom
4.974 -2.880 0.000
4.974 2.880 0.000
-3.329 0.000 14.174

Entry 2:
! Sr2MoWC6 | the Open Quantum Materials Database | PBE | optimized geometry; values from VASP
! spin magnetization = 0.02 μB per formula unit
! E_tot = -7.305 eV per atom
&SYSTEM
  ibrav = 0, nat = 10, ntyp = 4
/
ATOMIC_SPECIES
Sr 87.62 Sr.upf
Mo 95.94 Mo.upf
W 183.84 W.upf
C 12.01 C.upf
ATOMIC_POSITIONS crystal
Sr 0.250 0.250 0.249
Sr 0.750 0.750 0.751
Mo 0.500 0.500 0.000
W 0.000 0.000 0.500
C 0.250 0.250 0.749
C 0.250 0.750 0.250
C 0.250 0.750 0.750
C 0.750 0.250 0.250
C 0.750 0.250 0.750
C 0.750 0.750 0.251
CELL_PARAMETERS angstrom
5.099 -2.937 0.000
5.099 2.937 0.000
-3.408 0.000 4.812

Entry 3:
! Ta4Tl3Mo2C3 | the Open Quantum Materials Database | PBE | optimized geometry; values from VASP
! spin magnetization = 0.00 μB per formula unit
! E_tot = -8.754 eV per atom
&SYSTEM
  ibrav = 0, nat = 24, ntyp = 4
/
ATOMIC_SPECIES
Ta 180.95 Ta.upf
Tl 204.38 Tl.upf
Mo 95.94 Mo.upf
C 12.01 C.upf
ATOMIC_POSITIONS crystal
Ta 0.016 0.203 0.080
Ta 0.151 0.306 0.420
Ta 0.203 0.016 0.580
Ta 0.306 0.151 0.920
Ta 0.694 0.849 0.080
Ta 0.797 0.984 0.420
Ta 0.849 0.694 0.580
Ta 0.984 0.797 0.920
Tl 0.087 0.913 0.250
Tl 0.259 0.413 0.747
Tl 0.413 0.259 0.247
Tl 0.587 0.741 0.753
Tl 0.741 0.587 0.253
Tl 0.913 0.087 0.750
Mo 0.372 0.526 0.078
Mo 0.474 0.628 0.422
Mo 0.526 0.372 0.578
Mo 0.628 0.474 0.922
C 0.000 0.500 0.000
C 0.155 0.672 0.500
C 0.328 0.845 0.000
C 0.500 0.000 0.500
C 0.672 0.155 0.000
C 0.845 0.328 0.500
CELL_PARAMETERS angstrom
4.841 -2.791 0.000
4.841 2.791 0.000
-3.210 0.000 14.179

Entry 4:
! Ta2Zn3Mo4C3 | the Open Quantum Materials Database | PBE | optimized geometry; values from VASP
! spin magnetization = 0.00 μB per formula unit
! E_tot = -8.360 eV per atom
&SYSTEM
  ibrav = 0, nat = 24, ntyp = 4
/
ATOMIC_SPECIES
Ta 180.95 Ta.upf
Zn 65.41 Zn.upf
Mo 95.94 Mo.upf
C 12.01 C.upf
ATOMIC_POSITIONS crystal
Ta 0.032 0.862 0.595
Ta 0.138 0.968 0.905
Ta 0.862 0.032 0.095
Ta 0.968 0.138 0.405
Zn 0.082 0.303 0.749
Zn 0.303 0.082 0.249
Zn 0.467 0.533 0.750
Zn 0.533 0.467 0.250
Zn 0.697 0.918 0.751
Zn 0.918 0.697 0.251
Mo 0.195 0.364 0.083
Mo 0.309 0.468 0.417
Mo 0.364 0.195 0.583
Mo 0.468 0.309 0.917
Mo 0.532 0.691 0.083
Mo 0.636 0.805 0.417
Mo 0.691 0.532 0.583
Mo 0.805 0.636 0.917
C 0.000 0.500 0.500
C 0.162 0.677 0.000
C 0.323 0.838 0.500
C 0.500 0.000 0.000
C 0.677 0.162 0.500
C 0.838 0.323 0.000
CELL_PARAMETERS angstrom
4.620 -2.670 0.000
4.620 2.670 0.000
-3.113 0.000 13.423

Entry 5:
! Ta4Zn3Mo2C3 | the Open Quantum Materials Database | PBE | optimized geometry; values from VASP
! spin magnetization = 0.00 μB per formula unit
! E_tot = -8.658 eV per atom
&SYSTEM
  ibrav = 0, nat = 24, ntyp = 4
/
ATOMIC_SPECIES
Ta 180.95 Ta.upf
Zn 65.41 Zn.upf
Mo 95.94 Mo.upf
C 12.01 C.upf
ATOMIC_POSITIONS crystal
Ta 0.028 0.198 0.091
Ta 0.138 0.304 0.409
Ta 0.198 0.028 0.591
Ta 0.304 0.138 0.909
Ta 0.696 0.862 0.091
Ta 0.802 0.972 0.409
Ta 0.862 0.696 0.591
Ta 0.972 0.802 0.909
Zn 0.114 0.886 0.250
Zn 0.279 0.417 0.750
Zn 0.417 0.279 0.250
Zn 0.583 0.721 0.750
Zn 0.721 0.583 0.250
Zn 0.886 0.114 0.750
Mo 0.362 0.527 0.082
Mo 0.473 0.638 0.418
Mo 0.527 0.362 0.582
Mo 0.638 0.473 0.918
C 0.000 0.500 0.000
C 0.159 0.671 0.500
C 0.329 0.841 0.000
C 0.500 0.000 0.500
C 0.671 0.159 0.000
C 0.841 0.329 0.500
CELL_PARAMETERS angstrom
4.659 -2.692 0.000
4.659 2.692 0.000
-3.128 0.000 13.532

Entry 6:
! TbMoC3 | the Open Quantum Materials Database | PBE | optimized geometry; values from VASP
! spin magnetization = 0.00 μB per formula unit
! E_tot = -8.127 eV per atom
&SYSTEM
  ibrav = 0, nat = 10, ntyp = 3
/
ATOMIC_SPECIES
Tb 158.93 Tb.upf
Mo 95.94 Mo.upf
C 12.01 C.upf
ATOMIC_POSITIONS crystal
Tb 0.181 0.250 0.203
Tb 0.819 0.750 0.797
Mo 0.322 0.250 0.719
Mo 0.678 0.750 0.281
C 0.108 0.750 0.489
C 0.333 0.750 0.970
C 0.382 0.750 0.493
C 0.618 0.250 0.507
C 0.667 0.250 0.030
C 0.892 0.250 0.511
CELL_PARAMETERS angstrom
4.996 0.000 0.000
0.000 3.716 0.000
-1.305 0.000 5.998

Entry 7:
! TbTmMo2C3 | the Open Quantum Materials Database | PBE | optimized geometry; values from VASP
! spin magnetization = 0.00 μB per formula unit
! E_tot = -8.683 eV per atom
&SYSTEM
  ibrav = 0, nat = 14, ntyp = 4
/
ATOMIC_SPECIES
Tb 158.93 Tb.upf
Tm 168.93 Tm.upf
Mo 95.94 Mo.upf
C 12.01 C.upf
ATOMIC_POSITIONS crystal
Tb 0.000 0.000 0.000
Tb 0.500 0.500 0.000
Tm 0.228 0.000 0.641
Tm 0.728 0.500 0.641
Mo 0.263 0.500 0.195
Mo 0.464 0.000 0.449
Mo 0.763 0.000 0.195
Mo 0.964 0.500 0.449
C 0.115 0.500 0.327
C 0.341 0.000 0.077
C 0.383 0.500 0.563
C 0.615 0.000 0.327
C 0.841 0.500 0.077
C 0.883 0.000 0.563
CELL_PARAMETERS angstrom
11.305 0.000 0.000
0.000 3.379 0.000
-1.755 0.000 5.404

Entry 8:
! Tb2MoWC3 | the Open Quantum Materials Database | PBE | optimized geometry; values from VASP
! spin magnetization = 0.01 μB per formula unit
! E_tot = -8.981 eV per atom
&SYSTEM
  ibrav = 0, nat = 14, ntyp = 4
/
ATOMIC_SPECIES
Tb 158.93 Tb.upf
Mo 95.94 Mo.upf
W 183.84 W.upf
C 12.01 C.upf
ATOMIC_POSITIONS crystal
Tb 0.000 0.000 0.000
Tb 0.226 0.000 0.645
Tb 0.500 0.500 0.000
Tb 0.726 0.500 0.645
Mo 0.263 0.500 0.197
Mo 0.763 0.000 0.197
W 0.462 0.000 0.446
W 0.962 0.500 0.446
C 0.113 0.500 0.324
C 0.342 0.000 0.084
C 0.386 0.500 0.565
C 0.613 0.000 0.324
C 0.842 0.500 0.084
C 0.886 0.000 0.565
CELL_PARAMETERS angstrom
11.355 0.000 0.000
0.000 3.399 0.000
-1.720 0.000 5.462